## Cr2IrPd (PBE)

Data for a relaxed Cr2IrPd crystal.

It has space group I-42d (No. 122), with a = 6.7435 Å, b = 6.7435 Å, c = 5.2370 Å, α = 90.00°, β = 90.00° and γ = 90.00°. The distinct sites, in fractional coordinates, are Cr at (0.2243, 0.2500, 0.1250), Ir at (0.0000, 0.0000, 0.0000) and Pd at (0.0000, 0.0000, 0.5000).

The value obtained for the formation enthalpy at 0 K is 2.31 eV per formula unit. Its spin magnetization is 0.0 μB/cell. As for the crystal system: tetragonal. The calculation puts the total energy at -7.747 eV/atom.